Entry 1:
Entry from the Alexandria database: a relaxed structure of Sr3Rh5O12 (PBE-GGA).

Lattice parameters (Å, degrees): 13.0713 13.0713 13.0713 90.00 90.00 90.00
Space group Ia-3d (No. 230)
Symmetry-distinct sites (fractional):
Sr  0.0000  0.2500  0.1250 [24 per cell]
Rh  0.0000  0.0000  0.0000 [16 per cell]
Rh  0.0000  0.2500  0.3750 [24 per cell]
O  0.0306  0.0496  0.6453 [96 per cell]

Values from the calculation:
The density of states at the Fermi level is 16.2 states/eV/f.u. The calculation puts the electronic total energy at -6.280 eV/atom. The uncorrected formation energy is -1.22 eV/atom.

Entry 2:
Entry from the Alexandria database: a relaxed structure of LiTcNi (PBE-GGA).

Lattice parameters (Å, degrees): 8.6917 2.5337 7.5404 90.00 90.00 90.00
Space group Pnma (No. 62)
Symmetry-distinct sites (fractional):
Li  0.0728  0.2500  0.1712 [4 per cell]
Tc  0.1238  0.2500  0.5542 [4 per cell]
Ni  0.2012  0.2500  0.8549 [4 per cell]

Values from the calculation:
The density of states at the Fermi level is 2.1 states/eV/f.u. The calculation puts the electronic total energy at -5.879 eV/atom. The calculation puts the calculated formation energy at 0.141 eV per atom.

Entry 3:
Entry from the Alexandria database: a relaxed structure of CeYRe (PBE-GGA).

Lattice parameters (Å, degrees): 3.4138 3.4138 13.2994 90.00 90.00 90.00
Space group I4mm (No. 107)
Symmetry-distinct sites (fractional):
Ce  0.0000  0.0000  0.0000 [2 per cell]
Y  0.0000  0.0000  0.7450 [2 per cell]
Re  0.0000  0.0000  0.3791 [2 per cell]

Values from the calculation:
The density of states at the Fermi level is 2.8 states/eV/f.u. The calculation puts the electronic total energy at -8.190 eV/atom. The calculation puts the calculated formation energy at 0.092 eV per atom.

Entry 4:
Entry from the Alexandria database: a relaxed structure of Lu2NiAu (PBE-GGA).

Lattice parameters (Å, degrees): 3.8212 3.8212 25.3450 90.00 90.00 120.00
Space group R-3m (No. 166, hexagonal axes)
Symmetry-distinct sites (fractional):
Lu  0.0000  0.0000  0.1103 [6 per cell]
Ni  0.0000  0.0000  0.5000 [3 per cell]
Au  0.0000  0.0000  0.0000 [3 per cell]

Values from the calculation:
The density of states at the Fermi level is 3.0 states/eV/f.u. The calculation puts the electronic total energy at -4.614 eV/atom. The calculation puts the calculated formation energy at -0.089 eV per atom.

Entry 5:
Entry from the Alexandria database: a relaxed structure of ZrFeCl6 (PBE-GGA).

Lattice parameters (Å, degrees): 6.3718 6.3718 17.0424 90.00 90.00 120.00
Space group R-3 (No. 148, hexagonal axes)
Symmetry-distinct sites (fractional):
Zr  0.0000  0.0000  0.0000 [3 per cell]
Fe  0.0000  0.0000  0.5000 [3 per cell]
Cl  0.0010  0.6394  0.2493 [18 per cell]

Values from the calculation:
The density of states at the Fermi level is 6.2 states/eV/f.u. The calculation puts the electronic total energy at -4.812 eV/atom. The uncorrected formation energy is -1.30 eV/atom.

Entry 6:
Entry from the Alexandria database: a relaxed structure of TmSc5Cu6 (PBE-GGA).

Lattice parameters (Å, degrees): 4.6605 6.5214 14.0064 90.00 90.00 90.00
Space group Immm (No. 71)
Symmetry-distinct sites (fractional):
Tm  0.0000  0.0000  0.0000 [2 per cell]
Sc  0.0000  0.0000  0.3326 [4 per cell]
Sc  0.0000  0.5000  0.0000 [2 per cell]
Sc  0.0000  0.5000  0.3334 [4 per cell]
Cu  0.0000  0.2362  0.5000 [4 per cell]
Cu  0.0000  0.2564  0.1705 [8 per cell]

Values from the calculation:
The density of states at the Fermi level is 7.1 states/eV/f.u. The calculation puts the electronic total energy at -5.334 eV/atom. The calculation puts the calculated formation energy at -0.275 eV per atom.

Entry 7:
Entry from the Alexandria database: a relaxed structure of RhWAu2 (PBE-GGA).

Lattice parameters (Å, degrees): 2.8428 2.8428 28.4335 90.00 90.00 120.00
Space group R3m (No. 160, hexagonal axes)
Symmetry-distinct sites (fractional):
Rh  0.0000  0.0000  0.0000 [3 per cell]
W  0.0000  0.0000  0.7396 [3 per cell]
Au  0.0000  0.0000  0.2472 [3 per cell]
Au  0.0000  0.0000  0.4914 [3 per cell]

Values from the calculation:
The density of states at the Fermi level is 2.3 states/eV/f.u. The calculation puts the electronic total energy at -6.644 eV/atom. The calculation puts the calculated formation energy at 0.071 eV per atom.

Entry 8:
Entry from the Alexandria database: a relaxed structure of Cu5Pt2Rh (PBE-GGA).

Lattice parameters (Å, degrees): 5.3974 5.3974 7.3158 90.00 90.00 90.00
Space group I4/mmm (No. 139)
Symmetry-distinct sites (fractional):
Cu  0.0000  0.0000  0.0000 [2 per cell]
Cu  0.2500  0.2500  0.2500 [8 per cell]
Pt  0.0000  0.5000  0.0000 [4 per cell]
Rh  0.0000  0.0000  0.5000 [2 per cell]

Values from the calculation:
The density of states at the Fermi level is 8.4 states/eV/f.u. The calculation puts the electronic total energy at -5.056 eV/atom. The calculation puts the calculated formation energy at -0.066 eV per atom.

Entry 9:
Entry from the Alexandria database: a relaxed structure of Cs6Rb8Zn (PBE-GGA).

Lattice parameters (Å, degrees): 13.8388 13.8388 25.6939 90.00 90.00 120.00
Space group R-3 (No. 148, hexagonal axes)
Symmetry-distinct sites (fractional):
Cs  0.0361  0.7963  0.4134 [18 per cell]
Rb  0.0000  0.0000  0.2416 [6 per cell]
Rb  0.0512  0.8157  0.9155 [18 per cell]
Zn  0.0000  0.0000  0.0000 [3 per cell]

Values from the calculation:
The density of states at the Fermi level is 15.6 states/eV/f.u. The calculation puts the electronic total energy at -0.907 eV/atom. The calculation puts the calculated formation energy at 0.036 eV per atom.

Entry 10:
Entry from the Alexandria database: a relaxed structure of Ac2SbTe (PBE-GGA).

Lattice parameters (Å, degrees): 4.0839 4.0839 8.1863 90.00 90.00 90.00
Space group P4/mmm (No. 123)
Symmetry-distinct sites (fractional):
Ac  0.0000  0.0000  0.2405 [2 per cell]
Sb  0.5000  0.5000  0.0000 [1 per cell]
Te  0.5000  0.5000  0.5000 [1 per cell]

Values from the calculation:
The density of states at the Fermi level is 2.5 states/eV/f.u. The calculation puts the electronic total energy at -5.076 eV/atom. The uncorrected formation energy is -1.21 eV/atom.

Entry 11:
Entry from the Alexandria database: a relaxed structure of KCa4Be (PBE-GGA).

Lattice parameters (Å, degrees): 10.1101 10.1101 10.1101 90.00 90.00 90.00
Space group F-43m (No. 216)
Symmetry-distinct sites (fractional):
K  0.0000  0.0000  0.0000 [4 per cell]
Ca  0.1241  0.1241  0.3759 [16 per cell]
Be  0.2500  0.2500  0.7500 [4 per cell]

Values from the calculation:
The density of states at the Fermi level is 7.1 states/eV/f.u. The calculation puts the electronic total energy at -1.461 eV/atom. The calculation puts the calculated formation energy at 0.677 eV per atom.

Entry 12:
Entry from the Alexandria database: a relaxed structure of La3NdSn12 (PBE-GGA).

Lattice parameters (Å, degrees): 4.7993 4.7993 19.1710 90.00 90.00 90.00
Space group P4/mmm (No. 123)
Symmetry-distinct sites (fractional):
La  0.0000  0.0000  0.0000 [1 per cell]
La  0.0000  0.0000  0.2511 [2 per cell]
Nd  0.0000  0.0000  0.5000 [1 per cell]
Sn  0.0000  0.5000  0.1257 [4 per cell]
Sn  0.0000  0.5000  0.3767 [4 per cell]
Sn  0.5000  0.5000  0.0000 [1 per cell]
Sn  0.5000  0.5000  0.2513 [2 per cell]
Sn  0.5000  0.5000  0.5000 [1 per cell]

Values from the calculation:
The density of states at the Fermi level is 9.0 states/eV/f.u. The calculation puts the electronic total energy at -4.785 eV/atom. The calculation puts the calculated formation energy at -0.561 eV per atom.

Entry 13:
Entry from the Alexandria database: a relaxed structure of Sb2TeAu (PBE-GGA).

Lattice parameters (Å, degrees): 7.1191 5.1321 14.1715 90.00 117.79 90.00
Space group P2_1/c (No. 14)
Symmetry-distinct sites (fractional):
Sb  0.0003  0.1769  0.0808 [4 per cell]
Sb  0.3507  0.2007  0.9361 [4 per cell]
Te  0.2564  0.7286  0.7385 [4 per cell]
Au  0.3490  0.0092  0.5992 [4 per cell]

Values from the calculation:
The density of states at the Fermi level is 2.0 states/eV/f.u. The calculation puts the electronic total energy at -3.680 eV/atom. The uncorrected formation energy is -0.01 eV/atom.

Entry 14:
Entry from the Alexandria database: a relaxed structure of NaBe3Mo (PBE-GGA).

Lattice parameters (Å, degrees): 4.4763 4.4763 4.4763 90.00 90.00 90.00
Space group Pm-3m (No. 221)
Symmetry-distinct sites (fractional):
Na  0.0000  0.0000  0.0000 [1 per cell]
Be  0.0000  0.5000  0.5000 [3 per cell]
Mo  0.5000  0.5000  0.5000 [1 per cell]

Values from the calculation:
The density of states at the Fermi level is 3.9 states/eV/f.u. The calculation puts the electronic total energy at -3.507 eV/atom. The calculation puts the calculated formation energy at 1.158 eV per atom.

Entry 15:
Entry from the Alexandria database: a relaxed structure of Cs2RuBr5 (PBE-GGA).

Lattice parameters (Å, degrees): 9.6872 7.5093 15.8724 90.00 90.00 90.00
Space group Pnma (No. 62)
Symmetry-distinct sites (fractional):
Cs  0.0196  0.2500  0.2035 [4 per cell]
Cs  0.1673  0.7500  0.4201 [4 per cell]
Ru  0.1637  0.7500  0.0606 [4 per cell]
Br  0.0000  0.0000  0.0000 [4 per cell]
Br  0.0245  0.7500  0.1948 [4 per cell]
Br  0.1821  0.0160  0.6182 [8 per cell]
Br  0.1979  0.2500  0.4216 [4 per cell]

Values from the calculation:
The density of states at the Fermi level is 7.5 states/eV/f.u. The calculation puts the electronic total energy at -3.412 eV/atom. The uncorrected formation energy is -0.99 eV/atom.

Entry 16:
Entry from the Alexandria database: a relaxed structure of MgNpHgBi (PBE-GGA).

Lattice parameters (Å, degrees): 7.4874 7.4874 7.4874 90.00 90.00 90.00
Space group F-43m (No. 216)
Symmetry-distinct sites (fractional):
Mg  0.0000  0.0000  0.0000 [4 per cell]
Np  0.0000  0.0000  0.5000 [4 per cell]
Hg  0.2500  0.2500  0.7500 [4 per cell]
Bi  0.2500  0.2500  0.2500 [4 per cell]

Values from the calculation:
The density of states at the Fermi level is 12.8 states/eV/f.u. The calculation puts the electronic total energy at -4.622 eV/atom. The calculation puts the calculated formation energy at 0.057 eV per atom.

Entry 17:
Entry from the Alexandria database: a relaxed structure of Ge3IBr (PBE-GGA).

Lattice parameters (Å, degrees): 5.3947 5.3947 5.3947 90.00 90.00 90.00
Space group Pm-3m (No. 221)
Symmetry-distinct sites (fractional):
Ge  0.0000  0.0000  0.5000 [3 per cell]
I  0.5000  0.5000  0.5000 [1 per cell]
Br  0.0000  0.0000  0.0000 [1 per cell]

Values from the calculation:
The density of states at the Fermi level is 5.0 states/eV/f.u. The calculation puts the electronic total energy at -2.491 eV/atom. The uncorrected formation energy is 0.92 eV/atom.

Entry 18:
Entry from the Alexandria database: a relaxed structure of ZrCuCl3 (PBE-GGA).

Lattice parameters (Å, degrees): 4.7522 4.7522 4.7522 90.00 90.00 90.00
Space group Pm-3m (No. 221)
Symmetry-distinct sites (fractional):
Zr  0.0000  0.0000  0.0000 [1 per cell]
Cu  0.5000  0.5000  0.5000 [1 per cell]
Cl  0.0000  0.5000  0.5000 [3 per cell]

Values from the calculation:
The density of states at the Fermi level is 3.4 states/eV/f.u. The calculation puts the electronic total energy at -3.828 eV/atom. The uncorrected formation energy is -0.19 eV/atom.

Entry 19:
Entry from the Alexandria database: a relaxed structure of LiTbTlCl5 (PBE-GGA).

Lattice parameters (Å, degrees): 8.9179 12.1021 10.0427 90.00 113.59 90.00
Space group C2/c (No. 15)
Symmetry-distinct sites (fractional):
Li  0.0000  0.1906  0.2500 [4 per cell]
Tb  0.0000  0.5000  0.0000 [4 per cell]
Tl  0.0000  0.1491  0.7500 [4 per cell]
Cl  0.0000  0.4222  0.7500 [4 per cell]
Cl  0.1075  0.3018  0.1114 [8 per cell]
Cl  0.1922  0.0652  0.4231 [8 per cell]

Values from the calculation:
The density of states at the Fermi level is 0.0 states/eV/f.u. The calculation puts the electronic total energy at -4.131 eV/atom. The uncorrected formation energy is -1.86 eV/atom.

Entry 20:
Entry from the Alexandria database: a relaxed structure of MgFeNiAg2 (PBE-GGA).

Lattice parameters (Å, degrees): 4.8516 4.8516 4.3285 90.00 90.00 90.00
Space group P4/mmm (No. 123)
Symmetry-distinct sites (fractional):
Mg  0.0000  0.0000  0.0000 [1 per cell]
Fe  0.5000  0.5000  0.5000 [1 per cell]
Ni  0.5000  0.5000  0.0000 [1 per cell]
Ag  0.0000  0.5000  0.5000 [2 per cell]

Values from the calculation:
The density of states at the Fermi level is 3.9 states/eV/f.u. The calculation puts the electronic total energy at -3.563 eV/atom. The calculation puts the calculated formation energy at 0.745 eV per atom.